[1]
A plane-wave DFT calculation with PBE was carried out for a relaxed structure of Be2Si.

Total magnetic moment: 0.00 μB/cell
Energy above the lowest structure with this stoichiometry: 56 meV per atom
Formation energy (no corrections): 0.192 eV per atom
Space-group type: C2/m (12)
Density of states at the Fermi level: 0.5 states/eV/f.u.

```
Be2Si
1.0
2.4201 -2.5482 0.0000
2.4201 2.5482 0.0000
-2.4093 0.0000 5.1768
Be Si
4 2
Direct
0.0000 0.5000 0.0000 Be
0.1240 0.1240 0.2490 Be
0.5000 0.0000 0.0000 Be
0.8760 0.8760 0.7510 Be
0.3435 0.3435 0.6841 Si
0.6565 0.6565 0.3159 Si
```

---

[2]
A plane-wave DFT calculation with PBE was carried out for a relaxed structure of Sn2H2O3.

Total magnetic moment: 0.00 μB/cell
Energy: -74.08 eV for the cell shown
Space-group type: P2_1/c (14)
Density of states at the Fermi level: 0.0 states/eV/f.u.

```
Sn2H2O3
1.0
5.7731 0.0000 0.0000
0.0000 5.6792 0.0000
-3.4334 0.0000 7.6091
Sn H O
4 4 6
Direct
0.2405 0.2141 0.0678 Sn
0.2405 0.2859 0.5678 Sn
0.7595 0.7141 0.4322 Sn
0.7595 0.7859 0.9322 Sn
0.9997 0.0009 0.2720 H
0.9997 0.4991 0.7720 H
0.0003 0.5009 0.2280 H
0.0003 0.9991 0.7280 H
0.0000 0.0000 0.5000 O
0.0000 0.5000 0.0000 O
0.0012 0.0001 0.1534 O
0.0012 0.4999 0.6534 O
0.9988 0.9999 0.8466 O
0.9988 0.5001 0.3466 O
```

---

[3]
A plane-wave DFT calculation with PBE was carried out for a relaxed structure of PmPrPu2Se4.

Total magnetic moment: 11.52 μB/cell
Formation energy (no corrections): -1.702 eV per atom
Space-group type: P2/m (10)
Density of states at the Fermi level: 18.9 states/eV/f.u.

```
PmPrPu2Se4
1.0
7.2326 0.0000 0.0000
0.0000 4.1765 0.0000
-2.4122 0.0000 6.8748
Pm Pr Pu Se
1 1 2 4
Direct
0.0000 0.0000 0.0000 Pm
0.5000 0.5000 0.0000 Pr
0.0000 0.5000 0.5000 Pu
0.5000 0.0000 0.5000 Pu
0.2446 0.0000 0.7412 Se
0.2497 0.5000 0.2568 Se
0.7503 0.5000 0.7432 Se
0.7554 0.0000 0.2588 Se
```

---

[4]
A plane-wave DFT calculation with PBE was carried out for a relaxed structure of Ca3PuAs3.

ΔH_f (0 K): -887 meV per atom
Total magnetic moment: 10.00 μB/cell
Energy above the lowest structure with this stoichiometry: 219 meV per atom
Space-group type: C2/m (12)
Density of states at the Fermi level: 10.1 states/eV/f.u.

```
Ca3PuAs3
1.0
4.1705 -6.3952 0.0000
4.1705 6.3952 0.0000
-0.2784 0.0000 7.6826
Ca Pu As
6 2 6
Direct
0.1664 0.8336 0.0000 Ca
0.2236 0.7764 0.5000 Ca
0.3687 0.3687 0.1291 Ca
0.6313 0.6313 0.8709 Ca
0.7764 0.2236 0.5000 Ca
0.8336 0.1664 0.0000 Ca
0.2427 0.2427 0.6027 Pu
0.7573 0.7573 0.3973 Pu
0.0674 0.0674 0.2769 As
0.1794 0.5133 0.7957 As
0.4867 0.8206 0.2043 As
0.5133 0.1794 0.7957 As
0.8206 0.4867 0.2043 As
0.9326 0.9326 0.7231 As
```

---

Please write out number 1 again, unchanged.
A plane-wave DFT calculation with PBE was carried out for a relaxed structure of Be2Si.

Total magnetic moment: 0.00 μB/cell
Energy above the lowest structure with this stoichiometry: 56 meV per atom
Formation energy (no corrections): 0.192 eV per atom
Space-group type: C2/m (12)
Density of states at the Fermi level: 0.5 states/eV/f.u.

```
Be2Si
1.0
2.4201 -2.5482 0.0000
2.4201 2.5482 0.0000
-2.4093 0.0000 5.1768
Be Si
4 2
Direct
0.0000 0.5000 0.0000 Be
0.1240 0.1240 0.2490 Be
0.5000 0.0000 0.0000 Be
0.8760 0.8760 0.7510 Be
0.3435 0.3435 0.6841 Si
0.6565 0.6565 0.3159 Si
```

---

Q: Which value of total magnetic moment does entry 4 give?
A: 10.00 μB/cell

---

Q: What is the density of states at the Fermi level in the third record?
A: 18.9 states/eV/f.u.